# La3TbPmY

A relaxed structure of La3TbPmY (PBE, the Alexandria database).

Cell lengths 8.1476, 5.2255, 10.4215 Å; angles 90.00, 108.72, 90.00 degrees
With the nearest neighbours (Å) after each atom.
Space group P2_1/m (No. 11)
Asymmetric unit:
La  0.1671  0.2500  0.0435 (multiplicity 2)  3 Y 3.65-3.70, 1 Tb 3.66, 5 La 3.67-3.71, 3 Pm 3.68-3.70
La  0.1692  0.2500  0.5402 (multiplicity 2)  3 Tb 3.62-3.65, 1 Y 3.66, 3 Pm 3.67-3.71, 5 La 3.67-3.70
La  0.1703  0.7500  0.7916 (multiplicity 2)  3 Y 3.65-3.66, 1 Tb 3.65, 6 La 3.67-3.71, 2 Pm 3.71
Tb  0.5001  0.2500  0.3772 (multiplicity 2)  3 Pm 3.62-3.65, 5 La 3.62-3.66, 2 Tb 3.66, 2 Y 3.69
Pm  0.1702  0.7500  0.2933 (multiplicity 2)  3 Tb 3.62-3.65, 1 Y 3.62, 8 La 3.67-3.71
Y  0.4972  0.7500  0.1264 (multiplicity 2)  1 Pm 3.62, 7 La 3.65-3.70, 2 Tb 3.69, 2 Y 3.72

Summary:
DFT total energy ... -60.93 eV for the cell shown
Magnetic moment ... 0.00 μB/f.u.